Entry from Alexandria: crystalline Cs2Sr2WO6 at its relaxed geometry (PBE with a Hubbard U).

Summary:
Its calculated total energy is -6.08 eV per atom. For the volume, the calculation gives 454.47 Å³/cell. For the total moment, the calculation gives 0.00 Bohr magnetons per cell. The mass density comes out at 5.3 Mg/m³.

Cell lengths 6.235, 10.535, 7.180 Å; angles 90.00, 105.52, 90.00 degrees
Space group C2/m (No. 12)
Asymmetric unit:
Cs1 0.000 0.168 0.000
Sr1 0.000 0.336 0.500
W1 0.000 0.000 0.500
O1 0.183 0.136 0.657
O2 0.211 0.000 0.336